DFT (GGA+U) results for a relaxed structure of LiMnCoO4.

Results
- Uncorrected energy: -88.490 eV per cell
- Magnetization: 10.000 μB per cell
- Symmetry: No. 74

Cell lengths 5.910, 5.910, 5.910 Å; angles 122.08, 121.38, 87.03 degrees
Fractional coordinates of all 14 atoms:
1 Li 0.386 0.136 0.250
2 Li 0.614 0.864 0.750
3 Mn 0.000 0.500 0.500
4 Mn 0.500 0.500 0.000
5 Co 0.000 0.000 0.500
6 Co 0.000 0.500 0.000
7 O 0.199 0.727 0.472
8 O 0.245 0.273 0.972
9 O 0.249 0.276 0.526
10 O 0.249 0.723 0.974
11 O 0.751 0.277 0.026
12 O 0.751 0.724 0.474
13 O 0.755 0.727 0.028
14 O 0.801 0.273 0.528